Record 1
A plane-wave DFT calculation with PBE was carried out for LaHo2In2 after structural relaxation.

a b c (Å): 4.693 4.693 14.703
angles (deg): 99.18 99.18 90.00
Site moments in Bohr magnetons follow the coordinates.
Fractional positions:
La  0.630  0.630  0.261  0.04
La  0.370  0.370  0.739  0.04
Ho  0.750  0.250  0.500  0.14
Ho  0.928  0.928  0.856  0.02
Ho  0.072  0.072  0.144  0.02
Ho  0.250  0.750  0.500  0.14
In  0.000  0.500  0.000  0.00
In  0.176  0.176  0.351  0.00
In  0.500  0.000  0.000  0.00
In  0.824  0.824  0.649  0.00

The space-group type is I4/mmm. For the total energy, the calculation gives -40.99 eV per cell. For the formation energy, the calculation gives -0.1869 eV/atom. The size of the total moment is 0.33 μB/f.u.

Record 2
A plane-wave DFT calculation with PBE was carried out for SmHo2Th2 after structural relaxation.

a b c (Å): 8.554 8.554 11.727
angles (deg): 91.74 91.74 156.44
Fractional positions:
Sm  0.750  0.250  0.500
Sm  0.500  0.500  0.000
Ho  0.420  0.580  0.500
Ho  0.170  0.830  0.000
Ho  0.080  0.920  0.500
Ho  0.830  0.170  0.000
Th  0.125  0.375  0.750
Th  0.625  0.375  0.250
Th  0.625  0.375  0.750
Th  0.625  0.875  0.250

The space-group type is Fddd. For the total energy, the calculation gives -52.93 eV per cell. For the formation energy, the calculation gives 0.4497 eV/atom. The size of the total moment is 0.00 μB/f.u.

Record 3
A plane-wave DFT calculation with PBE was carried out for Rb2LiZnF5 after structural relaxation.

a b c (Å): 3.442 8.075 11.255
angles (deg): 90.00 90.00 102.31
Fractional positions:
Rb  0.872  0.744  0.809
Rb  0.112  0.224  0.688
Rb  0.128  0.256  0.309
Rb  0.888  0.776  0.188
Li  0.569  0.138  0.946
Li  0.431  0.862  0.446
Zn  0.792  0.584  0.518
Zn  0.208  0.416  0.018
F  0.331  0.662  0.003
F  0.689  0.379  0.895
F  0.507  0.014  0.809
F  0.290  0.580  0.633
F  0.920  0.841  0.523
F  0.669  0.338  0.503
F  0.311  0.621  0.395
F  0.493  0.986  0.309
F  0.710  0.420  0.133
F  0.080  0.159  0.023

The space-group type is Cmc2_1. For the total energy, the calculation gives -76.16 eV per cell. The size of the total moment is 0.07 μB/f.u. The raw formation energy is -23.600 eV/f.u.

Record 4
A plane-wave DFT calculation with PBE was carried out for SrLaZrRe2 after structural relaxation.

a b c (Å): 4.917 5.279 4.917
angles (deg): 90.00 90.00 90.00
Fractional positions:
Re  0.000  0.000  0.500
Re  0.500  0.000  0.000
Sr  0.000  0.500  0.000
Zr  0.500  0.500  0.500
La  0.000  0.000  0.000

The space-group type is P4/mmm. For the total energy, the calculation gives -30.39 eV per cell. For the formation energy, the calculation gives 1.9334 eV/atom. The size of the total moment is 0.00 μB/f.u.

Question: What is the formula in the fourth record?
Answer: SrLaZrRe2